# YInTe2O8

A relaxed YInTe2O8 crystal (PBE, Alexandria via LeMat-Bulk).

a b c (Å): 7.2201 7.2201 6.9493
angles (deg): 90.00 90.00 90.00
Space group I-4m2 (No. 119)
One atom of each set of equivalent atoms:
Y 0.0000 0.0000 0.0000 [2 per cell]
In 0.0000 0.5000 0.7500 [2 per cell]
Te 0.0000 0.0000 0.5000 [2 per cell]
Te 0.0000 0.5000 0.2500 [2 per cell]
O 0.0000 0.1947 0.7087 [8 per cell]
O 0.0000 0.3145 0.0623 [8 per cell]

Output
**V**: 15.095 Å³ per atom
**Total DFT energy (no corrections)**: -6.0462 eV/atom

***

# Y2InTeO8

A relaxed Y2InTeO8 crystal (PBE, Alexandria via LeMat-Bulk).

a b c (Å): 6.9469 7.2159 6.8300
angles (deg): 90.00 90.00 90.00
Space group Cmmm (No. 65)
One atom of each set of equivalent atoms:
Y 0.0000 0.0000 0.2480 [4 per cell]
In 0.0000 0.5000 0.0000 [2 per cell]
Te 0.0000 0.5000 0.5000 [2 per cell]
O 0.0000 0.3177 0.2868 [8 per cell]
O 0.2029 0.0000 0.0000 [4 per cell]
O 0.2217 0.0000 0.5000 [4 per cell]

Output
**V**: 14.266 Å³ per atom
**Total DFT energy (no corrections)**: -6.9421 eV/atom

***

# ZnIn2TeO6

A relaxed ZnIn2TeO6 crystal (PBE, Alexandria via LeMat-Bulk).

a b c (Å): 5.5862 5.5862 14.6000
angles (deg): 90.00 90.00 120.00
Space group R3 (No. 146, hexagonal axes)
One atom of each set of equivalent atoms:
Zn 0.0000 0.0000 0.0000 [3 per cell]
In 0.0000 0.0000 0.2817 [3 per cell]
In 0.0000 0.0000 0.7857 [3 per cell]
Te 0.0000 0.0000 0.4953 [3 per cell]
O 0.0048 0.2935 0.8925 [9 per cell]
O 0.0444 0.6726 0.0608 [9 per cell]

Output
**V**: 13.154 Å³ per atom
**Total DFT energy (no corrections)**: -5.2339 eV/atom

***

# ZnInTeO6

A relaxed ZnInTeO6 crystal (PBE, Alexandria via LeMat-Bulk).

a b c (Å): 5.2498 5.2498 9.2126
angles (deg): 90.00 90.00 120.00
Space group P-31c (No. 163)
One atom of each set of equivalent atoms:
Zn 0.3333 0.6667 0.2500 [2 per cell]
In 0.0000 0.0000 0.0000 [2 per cell]
Te 0.3333 0.6667 0.7500 [2 per cell]
O 0.0201 0.3625 0.6324 [12 per cell]

Output
**V**: 12.216 Å³ per atom
**Total DFT energy (no corrections)**: -5.1810 eV/atom

***

# Zr2InTeO

A relaxed Zr2InTeO crystal (PBE, Alexandria via LeMat-Bulk).

a b c (Å): 5.4282 5.4282 5.3389
angles (deg): 90.00 90.00 90.00
Space group P4/mmm (No. 123)
One atom of each set of equivalent atoms:
Zr 0.0000 0.5000 0.0000 [2 per cell]
In 0.0000 0.0000 0.0000 [1 per cell]
Te 0.0000 0.0000 0.5000 [1 per cell]
O 0.5000 0.5000 0.5000 [1 per cell]

Output
**V**: 31.463 Å³ per atom
**Total DFT energy (no corrections)**: -4.2486 eV/atom

***

# ThInO4

A relaxed ThInO4 crystal (PBE, Alexandria via LeMat-Bulk).

a b c (Å): 5.4664 5.4664 11.0142
angles (deg): 90.00 90.00 90.00
Space group I4_1/amd (No. 141, origin choice 2)
One atom of each set of equivalent atoms:
Th 0.0000 0.2500 0.3750 [4 per cell]
In 0.0000 0.2500 0.8750 [4 per cell]
O 0.2407 0.0000 0.0000 [16 per cell]

Output
**V**: 13.714 Å³ per atom
**Total DFT energy (no corrections)**: -7.2871 eV/atom

***

# Ti2InO

A relaxed Ti2InO crystal (PBE, Alexandria via LeMat-Bulk).

a b c (Å): 6.2627 6.2627 6.9115
angles (deg): 90.00 90.00 90.00
Space group I-42d (No. 122)
One atom of each set of equivalent atoms:
Ti 0.1252 0.2500 0.1250 [8 per cell]
In 0.0000 0.0000 0.5000 [4 per cell]
O 0.0000 0.0000 0.0000 [4 per cell]

Output
**V**: 16.942 Å³ per atom
**Total DFT energy (no corrections)**: -6.9884 eV/atom

***

# TiInO2

A relaxed TiInO2 crystal (PBE, Alexandria via LeMat-Bulk).

a b c (Å): 5.6207 5.6207 9.3459
angles (deg): 90.00 90.00 90.00
Space group I-42d (No. 122)
One atom of each set of equivalent atoms:
Ti 0.0000 0.0000 0.0000 [4 per cell]
In 0.0000 0.0000 0.5000 [4 per cell]
O 0.0575 0.2500 0.1250 [8 per cell]

Output
**V**: 18.454 Å³ per atom
**Total DFT energy (no corrections)**: -7.1060 eV/atom

***

# Ti3InO

A relaxed Ti3InO crystal (PBE, Alexandria via LeMat-Bulk).

a b c (Å): 14.2692 9.3957 5.4607
angles (deg): 90.00 100.06 90.00
Space group C2/c (No. 15)
One atom of each set of equivalent atoms:
Ti 0.1628 0.1089 0.1490 [8 per cell]
Ti 0.1720 0.2632 0.6310 [8 per cell]
Ti 0.1779 0.4246 0.1301 [8 per cell]
In 0.0000 0.2518 0.2500 [4 per cell]
In 0.0000 0.4070 0.7500 [4 per cell]
O 0.1786 0.0796 0.8046 [8 per cell]

Output
**V**: 18.021 Å³ per atom
**Total DFT energy (no corrections)**: -7.2345 eV/atom

***

# Ti7In2O2

A relaxed Ti7In2O2 crystal (PBE, Alexandria via LeMat-Bulk).

a b c (Å): 7.5208 9.0761 5.5908
angles (deg): 90.00 95.69 90.00
Space group C2/m (No. 12)
One atom of each set of equivalent atoms:
Ti 0.0000 0.0000 0.0000 [2 per cell]
Ti 0.1468 0.5000 0.6696 [4 per cell]
Ti 0.1570 0.3374 0.1762 [8 per cell]
In 0.0000 0.1615 0.5000 [4 per cell]
O 0.2464 0.5000 0.0052 [4 per cell]

Output
**V**: 17.261 Å³ per atom
**Total DFT energy (no corrections)**: -7.1906 eV/atom

***

# Ti3InO

A relaxed Ti3InO crystal (PBE, Alexandria via LeMat-Bulk).

a b c (Å): 7.2832 5.4727 10.1228
angles (deg): 90.00 128.91 90.00
Space group P2_1/c (No. 14)
One atom of each set of equivalent atoms:
Ti 0.0740 0.2307 0.0529 [4 per cell]
Ti 0.1599 0.6638 0.8122 [4 per cell]
Ti 0.4247 0.5776 0.1948 [4 per cell]
In 0.3347 0.1867 0.9249 [4 per cell]
O 0.2516 0.6043 0.6647 [4 per cell]

Output
**V**: 15.697 Å³ per atom
**Total DFT energy (no corrections)**: -7.2970 eV/atom

***

# Ti2InO

A relaxed Ti2InO crystal (PBE, Alexandria via LeMat-Bulk).

a b c (Å): 3.0593 3.0593 21.5730
angles (deg): 90.00 90.00 120.00
Space group R3m (No. 160, hexagonal axes)
One atom of each set of equivalent atoms:
Ti 0.0000 0.0000 0.0000 [3 per cell]
Ti 0.0000 0.0000 0.2212 [3 per cell]
In 0.0000 0.0000 0.4433 [3 per cell]
O 0.0000 0.0000 0.6109 [3 per cell]

Output
**V**: 14.572 Å³ per atom
**Total DFT energy (no corrections)**: -7.1574 eV/atom

***

# Ti3InO

A relaxed Ti3InO crystal (PBE, Alexandria via LeMat-Bulk).

a b c (Å): 4.9442 6.1542 5.0197
angles (deg): 90.00 90.00 90.00
Space group Pmma (No. 51)
One atom of each set of equivalent atoms:
Ti 0.2500 0.0000 0.1732 [2 per cell]
Ti 0.2500 0.2322 0.7052 [4 per cell]
In 0.2500 0.5000 0.2036 [2 per cell]
O 0.0000 0.0000 0.5000 [2 per cell]

Output
**V**: 15.274 Å³ per atom
**Total DFT energy (no corrections)**: -7.3799 eV/atom

***

# Ti3InO

A relaxed Ti3InO crystal (PBE, Alexandria via LeMat-Bulk).

a b c (Å): 3.9317 3.9317 7.2724
angles (deg): 90.00 90.00 90.00
Space group P4mm (No. 99)
One atom of each set of equivalent atoms:
Ti 0.0000 0.0000 0.0000 [1 per cell]
Ti 0.0000 0.5000 0.7268 [2 per cell]
In 0.0000 0.0000 0.3996 [1 per cell]
O 0.5000 0.5000 0.6943 [1 per cell]

Output
**V**: 22.483 Å³ per atom
**Total DFT energy (no corrections)**: -6.7195 eV/atom

***

# Ti3InO

A relaxed Ti3InO crystal (PBE, Alexandria via LeMat-Bulk).

a b c (Å): 5.2267 5.2267 12.7137
angles (deg): 90.00 90.00 90.00
Space group I-4m2 (No. 119)
One atom of each set of equivalent atoms:
Ti 0.0000 0.0000 0.2152 [4 per cell]
Ti 0.0000 0.2661 0.6112 [8 per cell]
In 0.0000 0.5000 0.1262 [4 per cell]
O 0.0000 0.0000 0.5000 [2 per cell]
O 0.0000 0.5000 0.7500 [2 per cell]

Output
**V**: 17.366 Å³ per atom
**Total DFT energy (no corrections)**: -6.8688 eV/atom

***

# Ti3InO

A relaxed Ti3InO crystal (PBE, Alexandria via LeMat-Bulk).

a b c (Å): 4.1349 4.1349 24.6498
angles (deg): 90.00 90.00 90.00
Space group I-4m2 (No. 119)
One atom of each set of equivalent atoms:
Ti 0.0000 0.0000 0.1731 [4 per cell]
Ti 0.0000 0.2579 0.6116 [8 per cell]
In 0.0000 0.0000 0.5000 [2 per cell]
In 0.0000 0.5000 0.7500 [2 per cell]
O 0.0000 0.5000 0.1482 [4 per cell]

Output
**V**: 21.073 Å³ per atom
**Total DFT energy (no corrections)**: -6.2029 eV/atom

***

# Ti6In3O

A relaxed Ti6In3O crystal (PBE, Alexandria via LeMat-Bulk).

a b c (Å): 9.6367 14.8497 4.9133
angles (deg): 90.00 90.00 90.00
Space group Cmc2_1 (No. 36)
One atom of each set of equivalent atoms:
Ti 0.0000 0.0693 0.0000 [4 per cell]
Ti 0.0000 0.2691 0.5066 [4 per cell]
Ti 0.1615 0.4220 0.4848 [8 per cell]
Ti 0.1690 0.2353 0.0195 [8 per cell]
In 0.0000 0.4039 0.9884 [4 per cell]
In 0.1748 0.0956 0.4779 [8 per cell]
O 0.0000 0.1928 0.8389 [4 per cell]

Output
**V**: 17.578 Å³ per atom
**Total DFT energy (no corrections)**: -6.6167 eV/atom

***

# Ti3InO

A relaxed Ti3InO crystal (PBE, Alexandria via LeMat-Bulk).

a b c (Å): 6.2618 8.2234 5.9126
angles (deg): 90.00 90.00 90.00
Space group Cmmm (No. 65)
One atom of each set of equivalent atoms:
Ti 0.0000 0.2336 0.2335 [8 per cell]
Ti 0.2193 0.5000 0.0000 [4 per cell]
In 0.2384 0.5000 0.5000 [4 per cell]
O 0.2500 0.2500 0.0000 [4 per cell]

Output
**V**: 15.223 Å³ per atom
**Total DFT energy (no corrections)**: -7.3940 eV/atom

***

# Ti3InO

A relaxed Ti3InO crystal (PBE, Alexandria via LeMat-Bulk).

a b c (Å): 9.8394 5.8986 5.3089
angles (deg): 90.00 93.01 90.00
Space group Cm (No. 8)
One atom of each set of equivalent atoms:
Ti 0.0000 0.0000 0.0000 [2 per cell]
Ti 0.0063 0.2466 0.4841 [4 per cell]
Ti 0.2437 0.0000 0.6936 [2 per cell]
Ti 0.2607 0.2382 0.1765 [4 per cell]
In 0.0126 0.5000 0.9769 [2 per cell]
In 0.2594 0.5000 0.6694 [2 per cell]
O 0.1207 0.0000 0.3274 [2 per cell]
O 0.3701 0.0000 0.4021 [2 per cell]

Output
**V**: 15.385 Å³ per atom
**Total DFT energy (no corrections)**: -7.3715 eV/atom

***

# TiInO2

A relaxed TiInO2 crystal (PBE, Alexandria via LeMat-Bulk).

a b c (Å): 3.0288 3.0288 20.9252
angles (deg): 90.00 90.00 120.00
Space group R-3m (No. 166, hexagonal axes)
One atom of each set of equivalent atoms:
Ti 0.0000 0.0000 0.0000 [3 per cell]
In 0.0000 0.0000 0.5000 [3 per cell]
O 0.0000 0.0000 0.3829 [6 per cell]

Output
**V**: 13.853 Å³ per atom
**Total DFT energy (no corrections)**: -7.2603 eV/atom

***

# TiInO

A relaxed TiInO crystal (PBE, Alexandria via LeMat-Bulk).

a b c (Å): 4.2147 4.2177 10.7835
angles (deg): 90.00 90.12 90.00
Space group C2/m (No. 12)
One atom of each set of equivalent atoms:
Ti 0.2489 0.0000 0.4075 [4 per cell]
In 0.2477 0.5000 0.8819 [4 per cell]
O 0.2492 0.5000 0.3946 [4 per cell]

Output
**V**: 15.975 Å³ per atom
**Total DFT energy (no corrections)**: -6.6903 eV/atom